1.
Entry from Alexandria via LeMat-Bulk: crystalline CdPCl2 at its relaxed geometry (GGA-PBE).

Summary:
- formation energy from raw total energies (eV/f.u.) = 1.5
- energy above the lowest structure with this stoichiometry (meV per atom) = 780
- density (g/cm3) = 4.20
- total magnetization (μB per cell) = 1.329

Cell: 5.1801 5.1801 5.1801 Å, 127.56 127.56 77.33°
Closest atoms and distances in Å follow each position.
Sites, in units of the cell vectors:
Cd (0.7500, 0.2500, 0.5000)  8 Cl 3.05, 4 P 3.24
Cl (0.0000, 0.0000, 0.0000)  4 Cd 3.05, 4 P 3.05, 4 Cl 3.24
Cl (0.5000, 0.5000, 0.0000)  4 P 3.05, 4 Cd 3.05, 4 Cl 3.24
P (0.2500, 0.7500, 0.5000)  8 Cl 3.05, 4 Cd 3.24

***

2.
Entry from Alexandria via LeMat-Bulk: crystalline UH4Cl5 at its relaxed geometry (GGA-PBE).

Summary:
- density (g/cm3) = 2.80
- total magnetization (μB per cell) = 1.000
- raw total energy (eV for the cell shown) = -40.0

Cell: 5.4480 7.0940 7.4993 Å, 78.74 68.70 67.42°
Closest atoms and distances in Å follow each position.
Sites, in units of the cell vectors:
U (0.8308, 0.0000, 0.0000)  2 H 1.96
H (0.7981, 0.4007, 0.2476)  1 Cl 1.33
H (0.8261, 0.0075, 0.7387)  1 U 1.96
H (0.5723, 0.9925, 0.2613)  1 U 1.96
H (0.4463, 0.5993, 0.7524)  1 Cl 1.33
Cl (0.2520, 0.7433, 0.6858)  1 H 1.33
Cl (0.7715, 0.3608, 0.8328)  1 H 2.11
Cl (0.9651, 0.6392, 0.1672)  1 H 2.11
Cl (0.6811, 0.2567, 0.3142)  1 H 1.33
Cl (0.3464, 0.0000, 0.0000)  2 U 2.64-2.81, 2 H 2.65

***

3.
Entry from Alexandria via LeMat-Bulk: crystalline CaAc2TbPr at its relaxed geometry (GGA-PBE).

Summary:
- density (g/cm3) = 6.19
- energy of formation (kJ/mol of formula units) = 187
- total magnetization (μB per cell) = 0.000

Cell: 6.2952 9.2431 7.3838 Å, 97.32 90.00 90.00°
Closest atoms and distances in Å follow each position.
Sites, in units of the cell vectors:
Ca (0.5136, 0.0000, 0.2500)  4 Ac 3.49-3.71, 4 Pr 3.58-3.72, 2 Ca 3.70
Ca (0.4864, 0.0000, 0.7500)  4 Ac 3.49-3.71, 4 Pr 3.58-3.72, 2 Ca 3.70
Ac (0.5949, 0.6705, 0.9148)  2 Ca 3.49-3.71, 3 Tb 3.63-3.69, 4 Ac 3.73-3.88
Ac (0.5949, 0.3295, 0.5852)  2 Ca 3.49-3.71, 3 Tb 3.63-3.69, 4 Ac 3.73-3.88
Ac (0.4051, 0.6705, 0.4148)  2 Ca 3.49-3.71, 3 Tb 3.63-3.69, 4 Ac 3.73-3.88
Ac (0.4051, 0.3295, 0.0852)  2 Ca 3.49-3.71, 3 Tb 3.63-3.69, 4 Ac 3.73-3.88
Tb (0.0894, 0.5000, 0.7500)  6 Ac 3.63-3.69, 2 Tb 3.86
Tb (0.9106, 0.5000, 0.2500)  6 Ac 3.63-3.69, 2 Tb 3.86
Pr (0.0000, 0.0000, 0.0000)  4 Ca 3.58-3.72, 2 Pr 3.69, 2 Ac 3.96
Pr (0.0000, 0.0000, 0.5000)  4 Ca 3.58-3.72, 2 Pr 3.69, 2 Ac 3.96

***

4.
Entry from Alexandria via LeMat-Bulk: crystalline Ac5TlSi2 at its relaxed geometry (GGA-PBE).

Summary:
- formation energy from raw total energies (eV/f.u.) = -3.4
- density (g/cm3) = 8.44
- total magnetization (μB per cell) = 0.000

Cell: 8.3757 8.3757 9.8137 Å, 115.26 115.26 90.00°
Closest atoms and distances in Å follow each position.
Sites, in units of the cell vectors:
Ac (0.5345, 0.6873, 0.7218)  3 Si 3.29-3.31, 2 Tl 3.55
Ac (0.8127, 0.9655, 0.2782)  3 Si 3.29-3.31, 2 Tl 3.55
Ac (0.0000, 0.0000, 0.0000)  4 Si 3.36
Ac (0.5000, 0.5000, 0.0000)  4 Si 3.36
Ac (0.1873, 0.0345, 0.7218)  3 Si 3.29-3.31, 2 Tl 3.55
Ac (0.6873, 0.1873, 0.7218)  3 Si 3.29-3.31, 2 Tl 3.55
Ac (0.0345, 0.5345, 0.7218)  3 Si 3.29-3.31, 2 Tl 3.55
Ac (0.3127, 0.8127, 0.2782)  3 Si 3.29-3.31, 2 Tl 3.55
Ac (0.9655, 0.4655, 0.2782)  3 Si 3.29-3.31, 2 Tl 3.55
Ac (0.4655, 0.3127, 0.2782)  3 Si 3.29-3.31, 2 Tl 3.55
Tl (0.7500, 0.7500, 0.5000)  10 Ac 3.55-3.91
Tl (0.2500, 0.2500, 0.5000)  10 Ac 3.55-3.91
Si (0.1157, 0.3843, 0.0000)  1 Si 2.74
Si (0.6157, 0.1157, 0.0000)  1 Si 2.74
Si (0.3843, 0.8843, 0.0000)  1 Si 2.74
Si (0.8843, 0.6157, 0.0000)  1 Si 2.74

***

5.
Entry from Alexandria via LeMat-Bulk: crystalline NbCuPd6 at its relaxed geometry (GGA-PBE).

Summary:
- energy above the lowest structure with this stoichiometry (meV per atom) = 0
- density (g/cm3) = 10.83
- energy of formation (kJ/mol of formula units) = -224
- total magnetization (μB per cell) = 0.000

Cell: 3.9535 3.9535 7.7996 Å, 90.00 90.00 90.00°
Closest atoms and distances in Å follow each position.
Sites, in units of the cell vectors:
Nb (0.0000, 0.0000, 0.5000)  12 Pd 2.77-2.80
Cu (0.0000, 0.0000, 0.0000)  12 Pd 2.78-2.80
Pd (0.5000, 0.5000, 0.0000)  8 Pd 2.78, 4 Cu 2.80
Pd (0.5000, 0.5000, 0.5000)  8 Pd 2.77, 4 Nb 2.80
Pd (0.5000, 0.0000, 0.2509)  2 Nb 2.77, 8 Pd 2.77-2.80, 2 Cu 2.78
Pd (0.5000, 0.0000, 0.7491)  2 Nb 2.77, 8 Pd 2.77-2.80, 2 Cu 2.78
Pd (0.0000, 0.5000, 0.2509)  8 Pd 2.77-2.80, 2 Nb 2.77, 2 Cu 2.78
Pd (0.0000, 0.5000, 0.7491)  8 Pd 2.77-2.80, 2 Nb 2.77, 2 Cu 2.78

***

6.
Entry from Alexandria via LeMat-Bulk: crystalline Sm2Mg3 at its relaxed geometry (GGA-PBE).

Summary:
- energy above the lowest structure with this stoichiometry (meV per atom) = 0
- density (g/cm3) = 4.51
- energy of formation (kJ/mol of formula units) = -38
- total magnetization (μB per cell) = 0.000

Cell: 3.8186 3.8186 18.8696 Å, 90.00 90.00 90.00°
Closest atoms and distances in Å follow each position.
Sites, in units of the cell vectors:
Sm (0.5000, 0.5000, 0.1951)  9 Mg 3.30-3.68
Sm (0.5000, 0.5000, 0.3969)  8 Mg 3.31-3.33
Sm (0.5000, 0.5000, 0.6031)  8 Mg 3.31-3.33
Sm (0.5000, 0.5000, 0.8049)  9 Mg 3.30-3.68
Mg (0.0000, 0.0000, 0.9119)  5 Mg 3.17-3.32, 4 Sm 3.37
Mg (0.0000, 0.0000, 0.0881)  5 Mg 3.17-3.32, 4 Sm 3.37
Mg (0.0000, 0.0000, 0.2952)  8 Sm 3.30-3.31
Mg (0.0000, 0.0000, 0.5000)  8 Sm 3.33
Mg (0.0000, 0.0000, 0.7048)  8 Sm 3.30-3.31
Mg (0.5000, 0.5000, 0.0000)  8 Mg 3.17

***

7.
Entry from Alexandria via LeMat-Bulk: crystalline Tl3Sn4Hg at its relaxed geometry (GGA-PBE).

Summary:
- density (g/cm3) = 9.26
- energy of formation (kJ/mol of formula units) = 7
- total magnetization (μB per cell) = 0.000

Cell: 4.6972 9.5563 10.3004 Å, 90.00 89.92 90.00°
Closest atoms and distances in Å follow each position.
Sites, in units of the cell vectors:
Tl (0.4353, 0.0000, 0.3680)  6 Tl 3.42-3.55, 4 Sn 3.50-3.53, 2 Hg 3.56-3.57
Tl (0.9355, 0.7399, 0.3690)  3 Hg 3.28-3.65, 5 Tl 3.42-3.59, 4 Sn 3.47-3.60
Tl (0.4355, 0.7601, 0.6310)  3 Hg 3.28-3.65, 5 Tl 3.42-3.59, 4 Sn 3.47-3.60
Tl (0.9356, 0.5000, 0.6320)  6 Tl 3.42-3.55, 4 Sn 3.50-3.53, 2 Hg 3.56-3.57
Tl (0.4355, 0.2399, 0.6310)  3 Hg 3.28-3.65, 5 Tl 3.42-3.59, 4 Sn 3.47-3.60
Tl (0.9355, 0.2601, 0.3690)  3 Hg 3.28-3.65, 5 Tl 3.42-3.59, 4 Sn 3.47-3.60
Sn (0.9359, 0.0000, 0.1158)  8 Sn 3.34-3.37, 4 Tl 3.50-3.60
Sn (0.4357, 0.0000, 0.8843)  8 Sn 3.33-3.41, 2 Tl 3.47, 2 Hg 3.53
Sn (0.9353, 0.7525, 0.8824)  8 Sn 3.33-3.41, 3 Tl 3.49-3.53, 1 Hg 3.53
Sn (0.4359, 0.7475, 0.1176)  8 Sn 3.33-3.41, 3 Tl 3.49-3.53, 1 Hg 3.53
Sn (0.9359, 0.5000, 0.1157)  8 Sn 3.33-3.41, 2 Tl 3.47, 2 Hg 3.53
Sn (0.4356, 0.5000, 0.8842)  8 Sn 3.34-3.37, 4 Tl 3.50-3.60
Sn (0.4358, 0.2525, 0.1176)  8 Sn 3.33-3.41, 3 Tl 3.49-3.53, 1 Hg 3.53
Sn (0.9354, 0.2475, 0.8824)  8 Sn 3.33-3.41, 3 Tl 3.49-3.53, 1 Hg 3.53
Hg (0.9355, 0.0000, 0.6284)  8 Tl 3.28-3.65, 4 Sn 3.53
Hg (0.4356, 0.5000, 0.3716)  8 Tl 3.28-3.65, 4 Sn 3.53

***

8.
Entry from Alexandria via LeMat-Bulk: crystalline CrMo2Br at its relaxed geometry (GGA-PBE).

Summary:
- formation energy from raw total energies (eV/f.u.) = 2.4
- energy above the lowest structure with this stoichiometry (meV per atom) = 108
- density (g/cm3) = 8.28
- total magnetization (μB per cell) = 0.000

Cell: 8.2726 8.2726 8.2726 Å, 21.21 21.21 21.21°
Closest atoms and distances in Å follow each position.
Sites, in units of the cell vectors:
Br (0.2500, 0.2500, 0.2500)  6 Mo 2.86, 6 Br 3.04
Cr (0.7500, 0.7500, 0.7500)  6 Mo 2.51
Mo (0.0095, 0.0095, 0.0095)  3 Cr 2.51
Mo (0.4905, 0.4905, 0.4905)  3 Cr 2.51

***

> Which value of total magnetization does entry 6 give?

0.000 μB per cell

***

Please write out number 7 again, unchanged.
Entry from Alexandria via LeMat-Bulk: crystalline Tl3Sn4Hg at its relaxed geometry (GGA-PBE).

Summary:
- density (g/cm3) = 9.26
- energy of formation (kJ/mol of formula units) = 7
- total magnetization (μB per cell) = 0.000

Cell: 4.6972 9.5563 10.3004 Å, 90.00 89.92 90.00°
Closest atoms and distances in Å follow each position.
Sites, in units of the cell vectors:
Tl (0.4353, 0.0000, 0.3680)  6 Tl 3.42-3.55, 4 Sn 3.50-3.53, 2 Hg 3.56-3.57
Tl (0.9355, 0.7399, 0.3690)  3 Hg 3.28-3.65, 5 Tl 3.42-3.59, 4 Sn 3.47-3.60
Tl (0.4355, 0.7601, 0.6310)  3 Hg 3.28-3.65, 5 Tl 3.42-3.59, 4 Sn 3.47-3.60
Tl (0.9356, 0.5000, 0.6320)  6 Tl 3.42-3.55, 4 Sn 3.50-3.53, 2 Hg 3.56-3.57
Tl (0.4355, 0.2399, 0.6310)  3 Hg 3.28-3.65, 5 Tl 3.42-3.59, 4 Sn 3.47-3.60
Tl (0.9355, 0.2601, 0.3690)  3 Hg 3.28-3.65, 5 Tl 3.42-3.59, 4 Sn 3.47-3.60
Sn (0.9359, 0.0000, 0.1158)  8 Sn 3.34-3.37, 4 Tl 3.50-3.60
Sn (0.4357, 0.0000, 0.8843)  8 Sn 3.33-3.41, 2 Tl 3.47, 2 Hg 3.53
Sn (0.9353, 0.7525, 0.8824)  8 Sn 3.33-3.41, 3 Tl 3.49-3.53, 1 Hg 3.53
Sn (0.4359, 0.7475, 0.1176)  8 Sn 3.33-3.41, 3 Tl 3.49-3.53, 1 Hg 3.53
Sn (0.9359, 0.5000, 0.1157)  8 Sn 3.33-3.41, 2 Tl 3.47, 2 Hg 3.53
Sn (0.4356, 0.5000, 0.8842)  8 Sn 3.34-3.37, 4 Tl 3.50-3.60
Sn (0.4358, 0.2525, 0.1176)  8 Sn 3.33-3.41, 3 Tl 3.49-3.53, 1 Hg 3.53
Sn (0.9354, 0.2475, 0.8824)  8 Sn 3.33-3.41, 3 Tl 3.49-3.53, 1 Hg 3.53
Hg (0.9355, 0.0000, 0.6284)  8 Tl 3.28-3.65, 4 Sn 3.53
Hg (0.4356, 0.5000, 0.3716)  8 Tl 3.28-3.65, 4 Sn 3.53

***

What did the second record say?
Entry from Alexandria via LeMat-Bulk: crystalline UH4Cl5 at its relaxed geometry (GGA-PBE).

Summary:
- density (g/cm3) = 2.80
- total magnetization (μB per cell) = 1.000
- raw total energy (eV for the cell shown) = -40.0

Cell: 5.4480 7.0940 7.4993 Å, 78.74 68.70 67.42°
Closest atoms and distances in Å follow each position.
Sites, in units of the cell vectors:
U (0.8308, 0.0000, 0.0000)  2 H 1.96
H (0.7981, 0.4007, 0.2476)  1 Cl 1.33
H (0.8261, 0.0075, 0.7387)  1 U 1.96
H (0.5723, 0.9925, 0.2613)  1 U 1.96
H (0.4463, 0.5993, 0.7524)  1 Cl 1.33
Cl (0.2520, 0.7433, 0.6858)  1 H 1.33
Cl (0.7715, 0.3608, 0.8328)  1 H 2.11
Cl (0.9651, 0.6392, 0.1672)  1 H 2.11
Cl (0.6811, 0.2567, 0.3142)  1 H 1.33
Cl (0.3464, 0.0000, 0.0000)  2 U 2.64-2.81, 2 H 2.65